1.
## ErNbN2O (PBE)

Data for a geometry-optimized ErNbN2O structure.

Cell: 5.4482 5.5044 5.8814 Å, 91.55 116.76 119.22°
Last column: nearest neighbours and their distance in Å.
Sites, in units of the cell vectors:
Er  0.0000  0.0000  0.0000  2 O 2.21-2.46, 4 N 2.25-2.35
Er  0.4472  0.7205  0.1771  2 O 2.19-2.38, 3 N 2.29-2.35
Nb  0.0419  0.5403  0.5212  3 N 1.88-2.07
Nb  0.4569  0.2254  0.6569  2 N 1.92-2.03, 1 O 1.99
N  0.2077  0.3852  0.3582  2 Nb 1.99-2.19
N  0.4910  0.9138  0.8167  2 Nb 2.03-2.07, 1 Er 2.25
N  0.9086  0.5583  0.8276  1 Nb 1.92
N  0.9475  0.7822  0.3283  1 Nb 1.88
O  0.2721  0.3194  0.8442  1 Nb 1.99, 1 Er 2.21
O  0.5578  0.1426  0.3533  2 Nb 2.15-2.19, 1 Er 2.19

2.
## ErNbN2O (PBE)

Data for a geometry-optimized ErNbN2O structure.

Cell: 7.8126 5.6187 5.6719 Å, 90.00 90.00 90.00°
Last column: nearest neighbours and their distance in Å.
Sites, in units of the cell vectors:
Er  0.0000  0.2196  0.0000  1 O 2.26, 4 N 2.29-2.41
Er  0.0000  0.7804  0.5000  1 O 2.26, 4 N 2.29-2.41
Er  0.5000  0.2804  0.0044  1 O 2.26, 4 N 2.29-2.42
Er  0.5000  0.7196  0.5044  1 O 2.26, 4 N 2.29-2.42
Nb  0.2499  0.2501  0.4925  4 N 1.96-2.18, 2 O 2.09
Nb  0.2499  0.7499  0.9925  4 N 1.96-2.18, 2 O 2.09
Nb  0.7501  0.2501  0.4925  4 N 1.96-2.18, 2 O 2.09
Nb  0.7501  0.7499  0.9925  4 N 1.96-2.18, 2 O 2.09
N  0.1808  0.0022  0.2690  2 Nb 1.96-2.18
N  0.1808  0.9978  0.7690  2 Nb 1.96-2.18
N  0.3190  0.4992  0.7720  2 Nb 1.96-2.18
N  0.3190  0.5008  0.2720  2 Nb 1.96-2.18
N  0.6810  0.4992  0.7720  2 Nb 1.96-2.18
N  0.6810  0.5008  0.2720  2 Nb 1.96-2.18
N  0.8192  0.0022  0.2690  2 Nb 1.96-2.18
N  0.8192  0.9978  0.7690  2 Nb 1.96-2.18
O  0.0000  0.3794  0.5286  2 Nb 2.09, 1 Er 2.26
O  0.0000  0.6206  0.0286  2 Nb 2.09, 1 Er 2.26
O  0.5000  0.1207  0.5253  2 Nb 2.09, 1 Er 2.26
O  0.5000  0.8793  0.0253  2 Nb 2.09, 1 Er 2.26

3.
## ErNbN2O (PBE)

Data for a geometry-optimized ErNbN2O structure.

Cell: 3.8071 3.7055 4.8082 Å, 90.00 90.27 90.00°
Last column: nearest neighbours and their distance in Å.
Sites, in units of the cell vectors:
Er  0.0000  0.0000  0.0000  2 O 2.28, 2 N 2.32
Nb  0.5058  0.5000  0.4291  3 N 1.86-2.02, 2 O 2.02
N  0.0044  0.5000  0.2905  2 Nb 2.01-2.02
N  0.5102  0.5000  0.8168  1 Nb 1.86
O  0.5027  0.0000  0.2606  2 Nb 2.02

4.
## Er3Nb2Re3N12 (PBE)

Data for a geometry-optimized Er3Nb2Re3N12 structure.

Cell: 10.9968 10.9968 10.9968 Å, 109.47 109.47 109.47°
Last column: nearest neighbours and their distance in Å.
Sites, in units of the cell vectors:
Er  0.1250  0.2500  0.3750  8 N 2.45-2.51
Er  0.1250  0.3750  0.7500  8 N 2.45-2.51
Er  0.2500  0.3750  0.1250  8 N 2.45-2.51
Er  0.2500  0.8750  0.6250  8 N 2.45-2.51
Er  0.3750  0.1250  0.2500  8 N 2.45-2.51
Er  0.3750  0.7500  0.1250  8 N 2.45-2.51
Er  0.6250  0.2500  0.8750  8 N 2.45-2.51
Er  0.6250  0.8750  0.7500  8 N 2.45-2.51
Er  0.7500  0.1250  0.3750  8 N 2.45-2.51
Er  0.7500  0.6250  0.8750  8 N 2.45-2.51
Er  0.8750  0.6250  0.2500  8 N 2.45-2.51
Er  0.8750  0.7500  0.6250  8 N 2.45-2.51
Nb  0.0000  0.0000  0.0000  6 N 2.11
Nb  0.0000  0.0000  0.5000  6 N 2.11
Nb  0.0000  0.5000  0.0000  6 N 2.11
Nb  0.0000  0.5000  0.5000  6 N 2.11
Nb  0.5000  0.0000  0.0000  6 N 2.11
Nb  0.5000  0.0000  0.5000  6 N 2.11
Nb  0.5000  0.5000  0.0000  6 N 2.11
Nb  0.5000  0.5000  0.5000  6 N 2.11
Re  0.1250  0.7500  0.8750  4 N 1.85
Re  0.1250  0.8750  0.2500  4 N 1.85
Re  0.2500  0.1250  0.8750  4 N 1.85
Re  0.2500  0.6250  0.3750  4 N 1.85
Re  0.3750  0.2500  0.6250  4 N 1.85
Re  0.3750  0.6250  0.7500  4 N 1.85
Re  0.6250  0.3750  0.2500  4 N 1.85
Re  0.6250  0.7500  0.3750  4 N 1.85
Re  0.7500  0.3750  0.6250  4 N 1.85
Re  0.7500  0.8750  0.1250  4 N 1.85
Re  0.8750  0.1250  0.7500  4 N 1.85
Re  0.8750  0.2500  0.1250  4 N 1.85
N  0.0247  0.2099  0.1208  1 Re 1.85
N  0.0247  0.3148  0.9039  1 Re 1.85
N  0.0891  0.7099  0.6852  1 Re 1.85
N  0.0891  0.8792  0.4039  1 Re 1.85
N  0.0961  0.6208  0.4109  1 Re 1.85
N  0.0961  0.9753  0.6852  1 Re 1.85
N  0.1208  0.0247  0.2099  1 Re 1.85
N  0.1208  0.5961  0.9109  1 Re 1.85
N  0.1852  0.2099  0.5891  1 Re 1.85
N  0.1852  0.4753  0.5961  1 Re 1.85
N  0.2099  0.1208  0.0247  1 Re 1.85
N  0.2099  0.5891  0.1852  1 Re 1.85
N  0.2901  0.3148  0.9109  1 Re 1.85
N  0.2901  0.4753  0.3792  1 Re 1.85
N  0.3148  0.9039  0.0247  1 Re 1.85
N  0.3148  0.9109  0.2901  1 Re 1.85
N  0.3792  0.2901  0.4753  1 Re 1.85
N  0.3792  0.5891  0.9039  1 Re 1.85
N  0.4039  0.0891  0.8792  1 Re 1.85
N  0.4039  0.8148  0.5247  1 Re 1.85
N  0.4109  0.0961  0.6208  1 Re 1.85
N  0.4109  0.8148  0.7901  1 Re 1.85
N  0.4753  0.3792  0.2901  1 Re 1.85
N  0.4753  0.5961  0.1852  1 Re 1.85
N  0.5247  0.4039  0.8148  1 Re 1.85
N  0.5247  0.6208  0.7099  1 Re 1.85
N  0.5891  0.1852  0.2099  1 Re 1.85
N  0.5891  0.9039  0.3792  1 Re 1.85
N  0.5961  0.1852  0.4753  1 Re 1.85
N  0.5961  0.9109  0.1208  1 Re 1.85
N  0.6208  0.4109  0.0961  1 Re 1.85
N  0.6208  0.7099  0.5247  1 Re 1.85
N  0.6852  0.0891  0.7099  1 Re 1.85
N  0.6852  0.0961  0.9753  1 Re 1.85
N  0.7099  0.5247  0.6208  1 Re 1.85
N  0.7099  0.6852  0.0891  1 Re 1.85
N  0.7901  0.4109  0.8148  1 Re 1.85
N  0.7901  0.8792  0.9753  1 Re 1.85
N  0.8148  0.5247  0.4039  1 Re 1.85
N  0.8148  0.7901  0.4109  1 Re 1.85
N  0.8792  0.4039  0.0891  1 Re 1.85
N  0.8792  0.9753  0.7901  1 Re 1.85
N  0.9039  0.0247  0.3148  1 Re 1.85
N  0.9039  0.3792  0.5891  1 Re 1.85
N  0.9109  0.1208  0.5961  1 Re 1.85
N  0.9109  0.2901  0.3148  1 Re 1.85
N  0.9753  0.6852  0.0961  1 Re 1.85
N  0.9753  0.7901  0.8792  1 Re 1.85

5.
## NdErNO (PBE)

Data for a geometry-optimized NdErNO structure.

Output
Energy relative to the lowest polymorph listed for this composition = 52.3 meV/atom

Cell: 4.0517 6.9641 5.0078 Å, 90.00 90.00 90.00°
Last column: nearest neighbours and their distance in Å.
Sites, in units of the cell vectors:
Nd  0.0000  0.1616  0.0000  3 N 2.41-2.51, 2 O 2.42
Nd  0.0000  0.8384  0.5000  3 N 2.41-2.51, 2 O 2.42
Er  0.5000  0.3276  0.5015  2 O 2.22-2.48, 2 N 2.26
Er  0.5000  0.6724  0.0015  2 O 2.22-2.48, 2 N 2.26
N  0.0000  0.1849  0.5010  2 Er 2.26, 3 Nd 2.41-2.51
N  0.0000  0.8151  0.0010  2 Er 2.26, 3 Nd 2.41-2.51
O  0.5000  0.3529  0.9965  2 Er 2.22-2.48, 2 Nd 2.42
O  0.5000  0.6471  0.4965  2 Er 2.22-2.48, 2 Nd 2.42

6.
## NdErNO (PBE)

Data for a geometry-optimized NdErNO structure.

Output
Energy relative to the lowest polymorph listed for this composition = 0.0 meV/atom

Cell: 4.9497 4.0332 6.9883 Å, 90.00 90.00 90.00°
Last column: nearest neighbours and their distance in Å.
Sites, in units of the cell vectors:
Nd  0.2500  0.0000  0.1643  2 N 2.38, 3 O 2.48-2.52
Nd  0.7500  0.0000  0.8357  2 N 2.38, 3 O 2.48-2.52
Er  0.2500  0.5000  0.6651  3 N 2.23-2.48, 2 O 2.24
Er  0.7500  0.5000  0.3349  3 N 2.23-2.48, 2 O 2.24
N  0.2500  0.5000  0.3465  3 Er 2.23-2.48, 2 Nd 2.38
N  0.7500  0.5000  0.6535  3 Er 2.23-2.48, 2 Nd 2.38
O  0.2500  0.0000  0.8041  2 Er 2.24, 2 Nd 2.48
O  0.7500  0.0000  0.1959  2 Er 2.24, 2 Nd 2.48

7.
## NdErNO (PBE)

Data for a geometry-optimized NdErNO structure.

Output
Energy relative to the lowest polymorph listed for this composition = 12.5 meV/atom

Cell: 8.1769 6.7315 4.9995 Å, 90.00 90.00 90.00°
Last column: nearest neighbours and their distance in Å.
Sites, in units of the cell vectors:
Nd  0.1261  0.0676  0.2500  4 O 2.34-2.51, 1 N 2.34
Nd  0.1261  0.4324  0.7500  4 O 2.34-2.51, 1 N 2.34
Nd  0.8739  0.5676  0.2500  4 O 2.34-2.51, 1 N 2.34
Nd  0.8739  0.9324  0.7500  4 O 2.34-2.51, 1 N 2.34
Er  0.3790  0.5854  0.2500  1 O 2.22, 2 N 2.23-2.25
Er  0.3790  0.9146  0.7500  1 O 2.22, 2 N 2.23-2.25
Er  0.6210  0.0854  0.2500  1 O 2.22, 2 N 2.23-2.25
Er  0.6210  0.4146  0.7500  1 O 2.22, 2 N 2.23-2.25
N  0.3848  0.5807  0.7500  2 Er 2.23-2.25, 1 Nd 2.34
N  0.3848  0.9193  0.2500  2 Er 2.23-2.25, 1 Nd 2.34
N  0.6152  0.0807  0.7500  2 Er 2.23-2.25, 1 Nd 2.34
N  0.6152  0.4193  0.2500  2 Er 2.23-2.25, 1 Nd 2.34
O  0.1469  0.0860  0.7500  1 Er 2.22, 2 Nd 2.34-2.46
O  0.1469  0.4140  0.2500  1 Er 2.22, 2 Nd 2.34-2.46
O  0.8531  0.5860  0.7500  1 Er 2.22, 2 Nd 2.34-2.46
O  0.8531  0.9140  0.2500  1 Er 2.22, 2 Nd 2.34-2.46

8.
## NdErNO (PBE)

Data for a geometry-optimized NdErNO structure.

Output
Energy relative to the lowest polymorph listed for this composition = 361.9 meV/atom

Cell: 4.4337 4.4337 8.3450 Å, 90.00 90.00 90.00°
Last column: nearest neighbours and their distance in Å.
Sites, in units of the cell vectors:
Nd  0.2500  0.2500  0.1076  4 O 2.39
Nd  0.7500  0.7500  0.8924  4 O 2.39
Er  0.2500  0.7500  0.5000  4 N 2.28
Er  0.7500  0.2500  0.5000  4 N 2.28
N  0.2500  0.2500  0.5633  4 Er 2.28
N  0.7500  0.7500  0.4367  4 Er 2.28
O  0.2500  0.7500  0.0000  4 Nd 2.39
O  0.7500  0.2500  0.0000  4 Nd 2.39

9.
## NdErNO (PBE)

Data for a geometry-optimized NdErNO structure.

Output
Energy relative to the lowest polymorph listed for this composition = 13.3 meV/atom

Cell: 4.9693 4.9693 4.8824 Å, 90.00 90.00 90.00°
Last column: nearest neighbours and their distance in Å.
Sites, in units of the cell vectors:
Nd  0.2500  0.7500  0.0000  2 O 2.44, 4 N 2.48
Nd  0.7500  0.2500  0.0000  2 O 2.44, 4 N 2.48
Er  0.2500  0.2500  0.4978  2 N 2.43-2.45, 4 O 2.48
Er  0.7500  0.7500  0.5022  2 N 2.43-2.45, 4 O 2.48
N  0.2500  0.2500  0.0006  2 Er 2.43-2.45, 4 Nd 2.48
N  0.7500  0.7500  0.9994  2 Er 2.43-2.45, 4 Nd 2.48
O  0.2500  0.7500  0.5000  2 Nd 2.44, 4 Er 2.48
O  0.7500  0.2500  0.5000  2 Nd 2.44, 4 Er 2.48

Number 1: total DFT energy (no corrections) -9.023 eV per atom, total moment 0.0 μB per formula unit. Number 2: total DFT energy (no corrections) -8.989 eV per atom, total moment 0.0 μB per formula unit. Number 3: total DFT energy (no corrections) -8.911 eV per atom, total moment 0.0 μB per formula unit. Number 4: total DFT energy (no corrections) -9.268 eV per atom, total moment 0.3 μB per formula unit. Number 5: total DFT energy (no corrections) -7.760 eV per atom, total moment 0.0 μB per formula unit. Number 6: total DFT energy (no corrections) -7.813 eV per atom, total moment 0.0 μB per formula unit. Number 7: total DFT energy (no corrections) -7.800 eV per atom, total moment 0.0 μB per formula unit. Number 8: total DFT energy (no corrections) -7.451 eV per atom, total moment 0.0 μB per formula unit. Number 9: total DFT energy (no corrections) -7.799 eV per atom, total moment 0.0 μB per formula unit.